[1]
VASP calculation (PBE-GGA) on crystalline Tb3Er12Pu at its relaxed geometry.

Summary:
- DFT total energy: -5.14 eV/atom
- M_tot: 6.229 μB/f.u.
- E_form: 0.0414 eV/atom

Cell: 4.977 4.977 19.738 Å, 90.00 90.00 90.00°
Positions (direct):
Tb 0.000 0.000 0.248
Tb 0.000 0.000 0.752
Tb 0.000 0.000 0.500
Er 0.000 0.500 0.122
Er 0.500 0.000 0.626
Er 0.000 0.500 0.878
Er 0.500 0.500 0.500
Er 0.000 0.500 0.374
Er 0.500 0.000 0.878
Er 0.500 0.500 0.249
Er 0.500 0.500 0.000
Er 0.500 0.500 0.751
Er 0.500 0.000 0.374
Er 0.500 0.000 0.122
Er 0.000 0.500 0.626
Pu 0.000 0.000 0.000

=====

[2]
VASP calculation (PBE-GGA) on crystalline Li2AcDyF8 at its relaxed geometry.

Summary:
- DFT total energy: -5.97 eV/atom
- M_tot: 0.000 μB/f.u.

Cell: 4.833 4.833 7.991 Å, 88.83 88.83 75.25°
Positions (direct):
F 0.220 0.784 0.770
F 0.719 0.719 0.024
F 0.281 0.281 0.976
F 0.691 0.691 0.454
F 0.309 0.309 0.546
F 0.216 0.780 0.230
F 0.784 0.220 0.770
F 0.780 0.216 0.230
Dy 0.000 0.000 0.000
Ac 0.000 0.000 0.500
Li 0.398 0.398 0.768
Li 0.602 0.602 0.232

=====

[3]
VASP calculation (PBE-GGA) on crystalline ScTcNi at its relaxed geometry.

Summary:
- DFT total energy: -7.26 eV/atom
- M_tot: 1.786 μB/f.u.
- E_form: 0.2362 eV/atom

Cell: 4.190 4.190 4.190 Å, 60.00 60.00 60.00°
Positions (direct):
Tc 0.500 0.500 0.500
Ni 0.750 0.750 0.750
Sc 0.000 0.000 0.000

=====

[4]
VASP calculation (PBE-GGA) on crystalline Cu3NiCl9 at its relaxed geometry.

Summary:
- DFT total energy: -3.08 eV/atom
- M_tot: 0.002 μB/f.u.

Cell: 7.020 9.766 11.028 Å, 74.86 71.44 68.94°
Positions (direct):
Cl 0.816 0.953 0.344
Cl 0.642 0.822 0.650
Cl 0.482 0.510 0.353
Cl 0.142 0.545 0.142
Cl 0.009 0.068 0.957
Cl 0.570 0.454 0.650
Cl 0.138 0.678 0.846
Cl 0.887 0.453 0.844
Cl 0.577 0.176 0.556
Cl 0.886 0.322 0.150
Cl 0.326 0.954 0.150
Cl 0.412 0.816 0.442
Cl 0.171 0.045 0.642
Cl 0.692 0.676 0.056
Cl 0.330 0.316 0.942
Cl 0.967 0.568 0.457
Cl 0.655 0.010 0.853
Cl 0.339 0.178 0.346
Cu 0.240 0.425 0.329
Cu 0.523 0.237 0.752
Cu 0.980 0.074 0.163
Cu 0.488 0.737 0.252
Cu 0.006 0.925 0.829
Cu 0.783 0.574 0.663
Ni 0.011 0.499 0.996
Ni 0.494 0.999 0.496